A plane-wave DFT calculation with PBE was carried out for an optimized crystal structure of Cs3Pm3PtO8.

Cell lengths 7.0976, 7.0977, 8.0624 Å; angles 116.13, 90.00, 120.00 degrees
Last column: nearest neighbours and their distance in Å.
Fractional positions:
Cs: 0.0000 0.0000 0.0000  6 O 3.09-3.10
Cs: 0.0000 0.5000 0.0000  6 O 3.09-3.10
Cs: 0.5000 0.5000 0.0000  6 O 3.09-3.10
Pm: 0.5000 0.0000 0.5000  6 O 2.35-2.41
Pm: 0.5000 0.5000 0.5000  6 O 2.35-2.41
Pm: 0.0000 0.5000 0.5000  6 O 2.35-2.41
Pt: 0.0000 0.0000 0.5000  6 O 2.15
O: 0.2784 0.5568 0.3353  3 Pm 2.35
O: 0.7216 0.4432 0.6647  3 Pm 2.35
O: 0.7967 0.5934 0.3434  1 Pt 2.15, 2 Pm 2.41
O: 0.2033 0.4066 0.6566  1 Pt 2.15, 2 Pm 2.41
O: 0.7967 0.0465 0.3434  1 Pt 2.15
O: 0.2033 0.9535 0.6566  1 Pt 2.15
O: 0.2498 0.0466 0.3434  1 Pt 2.15
O: 0.7502 0.9534 0.6566  1 Pt 2.15

Calculated total energy: -94.40 eV per formula unit
Theoretical density: 6.343 g cm⁻³
Total magnetic moment: 0.000 μB/f.u.